[1]
## Re3C (PBE)

Data for a relaxed structure of Re3C.

a b c (Å): 4.275 8.834 2.924
angles (deg): 90.00 90.00 90.00
Space group Pmmn (No. 59, origin choice 2)
One atom of each set of equivalent atoms:
Re  0.250  0.029  0.250 [4 per cell]
Re  0.250  0.750  0.749 [2 per cell]
C  0.250  0.250  0.253 [2 per cell]

Results
- calculated volume (Å³/cell) = 110.4
- E_tot (eV/cell) = -89.519
- size of the total moment (μB per formula unit) = 0.000
- DOS(E_F) (states/eV per atom) = 0.513



[2]
## Pm2Ga4IrAu3 (PBE)

Data for a relaxed structure of Pm2Ga4IrAu3.

a b c (Å): 4.301 4.301 10.843
angles (deg): 90.00 90.00 90.00
Space group P-4m2 (No. 115)
One atom of each set of equivalent atoms:
Pm  0.000  0.500  0.244 [2 per cell]
Ga  0.000  0.000  0.500 [1 per cell]
Ga  0.000  0.500  0.872 [2 per cell]
Ga  0.500  0.500  0.500 [1 per cell]
Ir  0.500  0.500  0.000 [1 per cell]
Au  0.000  0.000  0.000 [1 per cell]
Au  0.000  0.500  0.640 [2 per cell]

Results
- calculated volume (Å³/cell) = 200.6
- E_tot (eV/cell) = -46.595
- size of the total moment (μB per formula unit) = 0.000
- DOS(E_F) (states/eV per atom) = 0.505



[3]
## LiZn2Br (PBE)

Data for a relaxed structure of LiZn2Br.

a b c (Å): 3.648 5.901 8.353
angles (deg): 90.00 90.00 90.00
Space group Cmmm (No. 65)
One atom of each set of equivalent atoms:
Li  0.000  0.000  0.000 [2 per cell]
Zn  0.000  0.500  0.250 [4 per cell]
Br  0.000  0.000  0.500 [2 per cell]

Results
- uncorrected formation energy (eV per atom) = -0.10
- calculated volume (Å³/cell) = 179.8
- E_tot (eV/cell) = -13.102
- size of the total moment (μB per formula unit) = 0.000
- DOS(E_F) (states/eV per atom) = 0.121



[4]
## Ta2CdSi (PBE)

Data for a relaxed structure of Ta2CdSi.

a b c (Å): 2.893 4.446 5.511
angles (deg): 90.00 101.70 90.00
Space group Pm (No. 6)
One atom of each set of equivalent atoms:
Ta  0.000  0.000  0.000 [1 per cell]
Ta  0.261  0.500  0.707 [1 per cell]
Cd  0.596  0.500  0.227 [1 per cell]
Si  0.679  0.000  0.511 [1 per cell]

Results
- uncorrected formation energy (eV per atom) = 0.13
- calculated volume (Å³/cell) = 69.4
- E_tot (eV/cell) = -29.526
- size of the total moment (μB per formula unit) = 0.000
- DOS(E_F) (states/eV per atom) = 0.328



[5]
## Cs5Au3Cl (PBE)

Data for a relaxed structure of Cs5Au3Cl.

a b c (Å): 9.434 9.434 18.903
angles (deg): 90.00 90.00 90.00
Space group I4/mcm (No. 140)
One atom of each set of equivalent atoms:
Cs  0.000  0.000  0.000 [4 per cell]
Cs  0.189  0.311  0.140 [16 per cell]
Au  0.000  0.000  0.250 [4 per cell]
Au  0.108  0.392  0.500 [8 per cell]
Cl  0.000  0.500  0.250 [4 per cell]

Results
- uncorrected formation energy (eV per atom) = -0.61
- calculated volume (Å³/cell) = 1682.2
- E_tot (eV/cell) = -85.759
- size of the total moment (μB per formula unit) = 0.000
- DOS(E_F) (states/eV per atom) = 0.414



[6]
## NaZrP2S (PBE)

Data for a relaxed structure of NaZrP2S.

a b c (Å): 4.655 4.655 4.746
angles (deg): 90.00 90.00 90.00
Space group P4/mmm (No. 123)
One atom of each set of equivalent atoms:
Na  0.000  0.000  0.000 [1 per cell]
Zr  0.500  0.500  0.500 [1 per cell]
P  0.000  0.500  0.000 [2 per cell]
S  0.000  0.000  0.500 [1 per cell]

Results
- uncorrected formation energy (eV per atom) = 0.85
- calculated volume (Å³/cell) = 102.8
- E_tot (eV/cell) = -20.567
- size of the total moment (μB per formula unit) = 0.000
- DOS(E_F) (states/eV per atom) = 0.845



[7]
## Li3Pm3ZrS8 (PBE)

Data for a relaxed structure of Li3Pm3ZrS8.

a b c (Å): 7.9731 7.9731 18.4803
angles (deg): 90.00 90.00 120.00
Space group R-3m (No. 166, hexagonal axes)
One atom of each set of equivalent atoms:
Li  0.0000  0.5000  0.0000 [9 per cell]
Pm  0.0000  0.5000  0.5000 [9 per cell]
Zr  0.0000  0.0000  0.5000 [3 per cell]
S  0.0000  0.0000  0.2521 [6 per cell]
S  0.0244  0.5122  0.2476 [18 per cell]

Results
- uncorrected formation energy (eV per atom) = -1.75
- calculated volume (Å³/cell) = 1017.4
- E_tot (eV/cell) = -263.319
- size of the total moment (μB per formula unit) = 0.000
- DOS(E_F) (states/eV per atom) = 0.000



[8]
## Pr2AlSn (PBE)

Data for a relaxed structure of Pr2AlSn.

a b c (Å): 8.723 10.020 10.110
angles (deg): 90.00 90.00 90.00
Space group Fmmm (No. 69)
One atom of each set of equivalent atoms:
Pr  0.197  0.000  0.000 [8 per cell]
Pr  0.250  0.250  0.250 [8 per cell]
Al  0.000  0.210  0.500 [8 per cell]
Sn  0.000  0.000  0.296 [8 per cell]

Results
- calculated volume (Å³/cell) = 883.6
- E_tot (eV/cell) = -155.957
- size of the total moment (μB per formula unit) = 0.000
- DOS(E_F) (states/eV per atom) = 0.627



[9]
## GdScHgPb (PBE)

Data for a relaxed structure of GdScHgPb.

a b c (Å): 7.413 7.413 7.413
angles (deg): 90.00 90.00 90.00
Space group F-43m (No. 216)
One atom of each set of equivalent atoms:
Gd  0.000  0.000  0.000 [4 per cell]
Sc  0.000  0.000  0.500 [4 per cell]
Hg  0.250  0.250  0.750 [4 per cell]
Pb  0.250  0.250  0.250 [4 per cell]

Results
- calculated volume (Å³/cell) = 407.3
- E_tot (eV/cell) = -104.408
- size of the total moment (μB per formula unit) = 7.573
- DOS(E_F) (states/eV per atom) = 0.746



[10]
## TmSi2TcIr (PBE)

Data for a relaxed structure of TmSi2TcIr.

a b c (Å): 4.188 4.188 9.548
angles (deg): 90.00 90.00 90.00
Space group I-4m2 (No. 119)
One atom of each set of equivalent atoms:
Tm  0.000  0.000  0.000 [2 per cell]
Si  0.000  0.000  0.373 [4 per cell]
Tc  0.000  0.500  0.250 [2 per cell]
Ir  0.000  0.500  0.750 [2 per cell]

Results
- uncorrected formation energy (eV per atom) = -0.89
- calculated volume (Å³/cell) = 167.5
- E_tot (eV/cell) = -77.948
- size of the total moment (μB per formula unit) = 0.000
- DOS(E_F) (states/eV per atom) = 0.529



[11]
## BeGeTe2 (PBE)

Data for a relaxed structure of BeGeTe2.

a b c (Å): 7.065 7.065 7.065
angles (deg): 90.00 90.00 90.00
Space group Fm-3m (No. 225)
One atom of each set of equivalent atoms:
Be  0.000  0.000  0.000 [4 per cell]
Ge  0.000  0.000  0.500 [4 per cell]
Te  0.250  0.250  0.250 [8 per cell]

Results
- uncorrected formation energy (eV per atom) = 0.54
- calculated volume (Å³/cell) = 352.7
- E_tot (eV/cell) = -49.934
- size of the total moment (μB per formula unit) = 0.000
- DOS(E_F) (states/eV per atom) = 0.462



[12]
## Rb2ThI2Br4 (PBE)

Data for a relaxed structure of Rb2ThI2Br4.

a b c (Å): 8.112 8.112 12.089
angles (deg): 90.00 90.00 90.00
Space group I4/mmm (No. 139)
One atom of each set of equivalent atoms:
Rb  0.000  0.500  0.250 [4 per cell]
Th  0.000  0.000  0.000 [2 per cell]
I  0.000  0.000  0.257 [4 per cell]
Br  0.247  0.247  0.000 [8 per cell]

Results
- uncorrected formation energy (eV per atom) = -1.64
- calculated volume (Å³/cell) = 795.5
- E_tot (eV/cell) = -67.841
- size of the total moment (μB per formula unit) = 0.000
- DOS(E_F) (states/eV per atom) = 0.000



[13]
## LiAsPt2 (PBE)

Data for a relaxed structure of LiAsPt2.

a b c (Å): 2.820 4.788 9.233
angles (deg): 90.00 90.00 90.00
Space group Cmmm (No. 65)
One atom of each set of equivalent atoms:
Li  0.000  0.000  0.000 [2 per cell]
As  0.000  0.000  0.500 [2 per cell]
Pt  0.000  0.500  0.235 [4 per cell]

Results
- calculated volume (Å³/cell) = 124.7
- E_tot (eV/cell) = -38.834
- size of the total moment (μB per formula unit) = 0.000
- DOS(E_F) (states/eV per atom) = 0.679



[14]
## PmHoGePd (PBE)

Data for a relaxed structure of PmHoGePd.

a b c (Å): 7.171 7.171 7.171
angles (deg): 90.00 90.00 90.00
Space group F-43m (No. 216)
One atom of each set of equivalent atoms:
Pm  0.000  0.000  0.000 [4 per cell]
Ho  0.000  0.000  0.500 [4 per cell]
Ge  0.250  0.250  0.750 [4 per cell]
Pd  0.250  0.250  0.250 [4 per cell]

Results
- calculated volume (Å³/cell) = 368.7
- E_tot (eV/cell) = -88.900
- size of the total moment (μB per formula unit) = 0.000
- DOS(E_F) (states/eV per atom) = 0.486



[15]
## ScTlRh2O (PBE)

Data for a relaxed structure of ScTlRh2O.

a b c (Å): 5.069 5.069 4.080
angles (deg): 90.00 90.00 90.00
Space group P4/mmm (No. 123)
One atom of each set of equivalent atoms:
Sc  0.000  0.000  0.000 [1 per cell]
Tl  0.500  0.500  0.500 [1 per cell]
Rh  0.000  0.500  0.500 [2 per cell]
O  0.500  0.500  0.000 [1 per cell]

Results
- uncorrected formation energy (eV per atom) = 0.68
- calculated volume (Å³/cell) = 104.8
- E_tot (eV/cell) = -24.979
- size of the total moment (μB per formula unit) = 0.000
- DOS(E_F) (states/eV per atom) = 0.651



[16]
## HfTi7Al4 (PBE)

Data for a relaxed structure of HfTi7Al4.

a b c (Å): 12.675 4.698 8.998
angles (deg): 90.00 126.67 90.00
Space group C2/m (No. 12)
One atom of each set of equivalent atoms:
Hf  0.000  0.000  0.000 [2 per cell]
Ti  0.000  0.500  0.000 [2 per cell]
Ti  0.059  0.000  0.410 [4 per cell]
Ti  0.206  0.500  0.665 [4 per cell]
Ti  0.222  0.000  0.867 [4 per cell]
Al  0.059  0.500  0.767 [4 per cell]
Al  0.185  0.500  0.353 [4 per cell]

Results
- calculated volume (Å³/cell) = 429.8
- E_tot (eV/cell) = -158.377
- size of the total moment (μB per formula unit) = 0.092
- DOS(E_F) (states/eV per atom) = 1.035



[17]
## Cs2RbBr2F6 (PBE)

Data for a relaxed structure of Cs2RbBr2F6.

a b c (Å): 7.3699 7.3699 7.5158
angles (deg): 90.00 90.00 120.00
Space group P-3 (No. 147)
One atom of each set of equivalent atoms:
Cs  0.3333  0.6667  0.3009 [2 per cell]
Rb  0.0000  0.0000  0.0000 [1 per cell]
Br  0.3333  0.6667  0.7955 [2 per cell]
F  0.0550  0.3464  0.7883 [6 per cell]

Results
- uncorrected formation energy (eV per atom) = -1.54
- calculated volume (Å³/cell) = 353.5
- E_tot (eV/cell) = -34.164
- size of the total moment (μB per formula unit) = 3.000
- DOS(E_F) (states/eV per atom) = 1.346



[18]
## Y3SnTe2 (PBE)

Data for a relaxed structure of Y3SnTe2.

a b c (Å): 4.406 6.192 13.150
angles (deg): 90.00 90.00 90.00
Space group Immm (No. 71)
One atom of each set of equivalent atoms:
Y  0.000  0.000  0.000 [2 per cell]
Y  0.000  0.000  0.341 [4 per cell]
Sn  0.000  0.500  0.000 [2 per cell]
Te  0.000  0.500  0.331 [4 per cell]

Results
- uncorrected formation energy (eV per atom) = -1.20
- calculated volume (Å³/cell) = 358.8
- E_tot (eV/cell) = -73.747
- size of the total moment (μB per formula unit) = 0.000
- DOS(E_F) (states/eV per atom) = 0.340



[19]
## Fe2PC (PBE)

Data for a relaxed structure of Fe2PC.

a b c (Å): 2.666 2.590 11.468
angles (deg): 90.00 90.00 90.00
Space group Amm2 (No. 38)
One atom of each set of equivalent atoms:
Fe  0.000  0.000  0.000 [2 per cell]
Fe  0.500  0.000  0.193 [2 per cell]
P  0.000  0.000  0.806 [2 per cell]
C  0.500  0.000  0.558 [2 per cell]

Results
- calculated volume (Å³/cell) = 79.2
- E_tot (eV/cell) = -63.552
- size of the total moment (μB per formula unit) = 0.000
- DOS(E_F) (states/eV per atom) = 0.355



[20]
## Li3SmSb2 (PBE)

Data for a relaxed structure of Li3SmSb2.

a b c (Å): 17.451 4.361 10.781
angles (deg): 90.00 100.90 90.00
Space group C2/m (No. 12)
One atom of each set of equivalent atoms:
Li  0.000  0.000  0.000 [2 per cell]
Li  0.049  0.500  0.839 [4 per cell]
Li  0.120  0.000  0.728 [4 per cell]
Li  0.182  0.000  0.488 [4 per cell]
Li  0.208  0.500  0.905 [4 per cell]
Sm  0.000  0.500  0.500 [2 per cell]
Sm  0.169  0.500  0.220 [4 per cell]
Sb  0.046  0.000  0.306 [4 per cell]
Sb  0.144  0.000  0.994 [4 per cell]
Sb  0.192  0.500  0.646 [4 per cell]

Results
- uncorrected formation energy (eV per atom) = -0.75
- calculated volume (Å³/cell) = 805.7
- E_tot (eV/cell) = -139.157
- size of the total moment (μB per formula unit) = 0.000
- DOS(E_F) (states/eV per atom) = 0.084



[21]
## MgScRuRh (PBE)

Data for a relaxed structure of MgScRuRh.

a b c (Å): 6.341 6.341 6.341
angles (deg): 90.00 90.00 90.00
Space group F-43m (No. 216)
One atom of each set of equivalent atoms:
Mg  0.000  0.000  0.000 [4 per cell]
Sc  0.000  0.000  0.500 [4 per cell]
Ru  0.250  0.250  0.250 [4 per cell]
Rh  0.250  0.250  0.750 [4 per cell]

Results
- calculated volume (Å³/cell) = 255.0
- E_tot (eV/cell) = -105.860
- size of the total moment (μB per formula unit) = 0.000
- DOS(E_F) (states/eV per atom) = 0.821



[22]
## Y2ZrRePt (PBE)

Data for a relaxed structure of Y2ZrRePt.

a b c (Å): 5.248 5.248 5.077
angles (deg): 90.00 90.00 90.00
Space group P4/mmm (No. 123)
One atom of each set of equivalent atoms:
Y  0.000  0.500  0.000 [2 per cell]
Zr  0.000  0.000  0.500 [1 per cell]
Re  0.500  0.500  0.500 [1 per cell]
Pt  0.000  0.000  0.000 [1 per cell]

Results
- calculated volume (Å³/cell) = 139.8
- E_tot (eV/cell) = -36.778
- size of the total moment (μB per formula unit) = 1.182
- DOS(E_F) (states/eV per atom) = 1.239



[23]
## La7Al6 (PBE)

Data for a relaxed structure of La7Al6.

a b c (Å): 6.9772 6.9772 27.3885
angles (deg): 90.00 90.00 120.00
Space group R-3m (No. 166, hexagonal axes)
One atom of each set of equivalent atoms:
La  0.0000  0.0000  0.0000 [3 per cell]
La  0.0206  0.5103  0.4099 [18 per cell]
Al  0.0000  0.0000  0.1650 [6 per cell]
Al  0.0000  0.0000  0.3597 [6 per cell]
Al  0.0000  0.0000  0.4540 [6 per cell]

Results
- calculated volume (Å³/cell) = 1154.7
- E_tot (eV/cell) = -163.973
- size of the total moment (μB per formula unit) = 0.000
- DOS(E_F) (states/eV per atom) = 1.066



[24]
## KZnHg2Pb (PBE)

Data for a relaxed structure of KZnHg2Pb.

a b c (Å): 5.401 5.401 5.462
angles (deg): 90.00 90.00 90.00
Space group P4/mmm (No. 123)
One atom of each set of equivalent atoms:
K  0.000  0.000  0.000 [1 per cell]
Zn  0.500  0.500  0.500 [1 per cell]
Hg  0.000  0.500  0.500 [2 per cell]
Pb  0.500  0.500  0.000 [1 per cell]

Results
- calculated volume (Å³/cell) = 159.3
- E_tot (eV/cell) = -6.620
- size of the total moment (μB per formula unit) = 0.000
- DOS(E_F) (states/eV per atom) = 0.635



[25]
## Ho5Sb2PC (PBE)

Data for a relaxed structure of Ho5Sb2PC.

a b c (Å): 4.577 4.577 10.799
angles (deg): 90.00 90.00 90.00
Space group P4/mmm (No. 123)
One atom of each set of equivalent atoms:
Ho  0.000  0.000  0.000 [1 per cell]
Ho  0.000  0.500  0.500 [2 per cell]
Ho  0.500  0.500  0.251 [2 per cell]
Sb  0.000  0.000  0.287 [2 per cell]
P  0.500  0.500  0.000 [1 per cell]
C  0.500  0.500  0.500 [1 per cell]

Results
- uncorrected formation energy (eV per atom) = -0.84
- calculated volume (Å³/cell) = 226.2
- E_tot (eV/cell) = -53.361
- size of the total moment (μB per formula unit) = 0.000
- DOS(E_F) (states/eV per atom) = 0.688